Record 1
Material: LiSbS2
Method: DFT, GGA-PBEsol
State: relaxed

Summary:
* E_form (uncorrected): -0.686 eV/atom
* symmetry: R-3, No. 148

a = 8.515 Å, b = 8.515 Å, c = 8.515 Å
α = 108.04°, β = 108.04°, γ = 108.04°
Element x y z (fractional)
Li: 0.191 0.744 0.585
Li: 0.256 0.415 0.809
Li: 0.415 0.809 0.256
Li: 0.585 0.191 0.744
Li: 0.744 0.585 0.191
Li: 0.809 0.256 0.415
Sb: 0.054 0.346 0.117
Sb: 0.117 0.054 0.346
Sb: 0.346 0.117 0.054
Sb: 0.654 0.883 0.946
Sb: 0.883 0.946 0.654
Sb: 0.946 0.654 0.883
S: 0.084 0.659 0.239
S: 0.138 0.368 0.447
S: 0.239 0.084 0.659
S: 0.341 0.761 0.916
S: 0.368 0.447 0.138
S: 0.447 0.138 0.368
S: 0.553 0.862 0.632
S: 0.632 0.553 0.862
S: 0.659 0.239 0.084
S: 0.761 0.916 0.341
S: 0.862 0.632 0.553
S: 0.916 0.341 0.761

=====

Record 2
Material: Cd2Bi6O11
Method: DFT, GGA-PBEsol
State: relaxed

Summary:
* E_form (uncorrected): -1.089 eV/atom
* symmetry: P1, No. 1

a = 3.642 Å, b = 3.650 Å, c = 22.856 Å
α = 89.77°, β = 89.29°, γ = 89.84°
Element x y z (fractional)
Cd: 0.000 0.000 0.000
Cd: 0.499 0.498 0.108
Bi: 0.262 0.502 0.885
Bi: 0.432 0.507 0.637
Bi: 0.522 0.599 0.362
Bi: 0.769 0.005 0.766
Bi: 0.926 0.999 0.230
Bi: 0.935 0.012 0.504
O: 0.005 0.499 0.054
O: 0.027 0.925 0.335
O: 0.106 0.505 0.717
O: 0.119 0.009 0.610
O: 0.234 0.003 0.824
O: 0.497 0.996 0.161
O: 0.513 0.024 0.433
O: 0.516 0.000 0.943
O: 0.599 0.498 0.258
O: 0.623 0.510 0.532
O: 0.734 0.503 0.827

=====

Record 3
Material: Ca2CoN2
Method: DFT, GGA-PBEsol
State: relaxed

Summary:
* E_form (uncorrected): -0.768 eV/atom
* symmetry: C2/m, No. 12

a = 5.840 Å, b = 5.840 Å, c = 6.694 Å
α = 119.30°, β = 119.30°, γ = 49.50°
Element x y z (fractional)
Ca: 0.046 0.046 0.276
Ca: 0.318 0.318 0.902
Ca: 0.682 0.682 0.098
Ca: 0.954 0.954 0.724
Co: 0.375 0.375 0.374
Co: 0.625 0.625 0.626
N: 0.187 0.187 0.107
N: 0.476 0.476 0.692
N: 0.524 0.524 0.308
N: 0.813 0.813 0.893

=====

Record 4
Material: SrRhCl2
Method: DFT, GGA-PBEsol
State: relaxed

Summary:
* offset from the most stable computed form: 58 meV/atom
* E_form (uncorrected): -0.756 eV/atom
* symmetry: I-4m2, No. 119

a = 6.034 Å, b = 6.034 Å, c = 6.034 Å
α = 142.45°, β = 142.45°, γ = 54.15°
Element x y z (fractional)
Sr: 0.000 0.000 0.000
Rh: 0.250 0.750 0.500
Cl: 0.500 0.500 0.000
Cl: 0.750 0.250 0.500

=====

Record 5
Material: ZrAgC3
Method: DFT, GGA-PBEsol
State: relaxed

Summary:
* offset from the most stable computed form: 16 meV/atom
* symmetry: Pm-3m, No. 221

a = 3.978 Å, b = 3.978 Å, c = 3.978 Å
α = 90.00°, β = 90.00°, γ = 90.00°
Element x y z (fractional)
Zr: 0.000 0.000 0.000
Ag: 0.500 0.500 0.500
C: 0.000 0.500 0.500
C: 0.500 0.000 0.500
C: 0.500 0.500 0.000

=====

Record 6
Material: AlZnCl2
Method: DFT, GGA-PBEsol
State: relaxed

Summary:
* offset from the most stable computed form: 615 meV/atom
* E_form (uncorrected): 0.030 eV/atom
* symmetry: F-43m, No. 216

a = 4.816 Å, b = 4.816 Å, c = 4.816 Å
α = 60.00°, β = 60.00°, γ = 60.00°
Element x y z (fractional)
Al: 0.000 0.000 0.000
Zn: 0.750 0.750 0.750
Cl: 0.250 0.250 0.250
Cl: 0.500 0.500 0.500

=====

Record 7
Material: TlTcSb2
Method: DFT, GGA-PBEsol
State: relaxed

Summary:
* offset from the most stable computed form: 62 meV/atom
* E_form (uncorrected): 0.060 eV/atom
* symmetry: R-3m, No. 166

a = 10.209 Å, b = 10.209 Å, c = 10.209 Å
α = 18.45°, β = 18.45°, γ = 18.45°
Element x y z (fractional)
Tl: 0.000 0.000 0.000
Tc: 0.500 0.500 0.500
Sb: 0.231 0.231 0.231
Sb: 0.769 0.769 0.769

=====

Record 8
Material: ScNbSiGe2
Method: DFT, GGA-PBEsol
State: relaxed

Summary:
* E_form (uncorrected): 0.531 eV/atom
* symmetry: P4/mmm, No. 123

a = 4.661 Å, b = 4.661 Å, c = 4.701 Å
α = 90.00°, β = 90.00°, γ = 90.00°
Element x y z (fractional)
Sc: 0.000 0.000 0.000
Nb: 0.500 0.500 0.000
Si: 0.500 0.500 0.500
Ge: 0.000 0.500 0.500
Ge: 0.500 0.000 0.500

=====

Record 9
Material: Mg2AlCl2
Method: DFT, GGA-PBEsol
State: relaxed

Summary:
* E_form (uncorrected): -0.332 eV/atom
* symmetry: I4/mmm, No. 139

a = 5.568 Å, b = 5.568 Å, c = 5.568 Å
α = 124.72°, β = 124.72°, γ = 82.00°
Element x y z (fractional)
Mg: 0.250 0.750 0.500
Mg: 0.750 0.250 0.500
Al: 0.000 0.000 0.000
Cl: 0.321 0.321 0.000
Cl: 0.679 0.679 0.000

=====

Record 10
Material: Ag2Sb
Method: DFT, GGA-PBEsol
State: relaxed

Summary:
* offset from the most stable computed form: 0 meV/atom
* E_form (uncorrected): 0.053 eV/atom
* symmetry: C2/m, No. 12

a = 5.755 Å, b = 5.755 Å, c = 7.405 Å
α = 111.02°, β = 111.02°, γ = 31.18°
Element x y z (fractional)
Ag: 0.050 0.050 0.279
Ag: 0.363 0.363 0.978
Ag: 0.637 0.637 0.022
Ag: 0.950 0.950 0.721
Sb: 0.331 0.331 0.344
Sb: 0.669 0.669 0.656

=====

Record 11
Material: HfTi2P2
Method: DFT, GGA-PBEsol
State: relaxed

Summary:
* symmetry: P4/mbm, No. 127

a = 6.677 Å, b = 6.677 Å, c = 3.339 Å
α = 90.00°, β = 90.00°, γ = 90.00°
Element x y z (fractional)
Hf: 0.000 0.000 0.000
Hf: 0.500 0.500 0.000
Ti: 0.159 0.341 0.500
Ti: 0.341 0.841 0.500
Ti: 0.659 0.159 0.500
Ti: 0.841 0.659 0.500
P: 0.136 0.636 0.000
P: 0.364 0.136 0.000
P: 0.636 0.864 0.000
P: 0.864 0.364 0.000

=====

Record 12
Material: InIr2Se
Method: DFT, GGA-PBEsol
State: relaxed

Summary:
* offset from the most stable computed form: 0 meV/atom
* E_form (uncorrected): 0.214 eV/atom
* symmetry: Cm, No. 8

a = 5.042 Å, b = 5.042 Å, c = 4.862 Å
α = 102.15°, β = 102.15°, γ = 34.01°
Element x y z (fractional)
In: 0.000 0.000 0.000
Ir: 0.241 0.241 0.763
Ir: 0.497 0.497 0.498
Se: 0.779 0.779 0.375

=====

Record 13
Material: Be3Ir
Method: DFT, GGA-PBEsol
State: relaxed

Summary:
* symmetry: R-3m, No. 166

a = 7.411 Å, b = 7.411 Å, c = 7.411 Å
α = 20.42°, β = 20.42°, γ = 20.42°
Element x y z (fractional)
Be: 0.000 0.000 0.000
Be: 0.250 0.250 0.250
Be: 0.750 0.750 0.750
Ir: 0.500 0.500 0.500

=====

Record 14
Material: KAs3Os
Method: DFT, GGA-PBEsol
State: relaxed

Summary:
* symmetry: Pm-3m, No. 221

a = 4.885 Å, b = 4.885 Å, c = 4.885 Å
α = 90.00°, β = 90.00°, γ = 90.00°
Element x y z (fractional)
K: 0.000 0.000 0.000
As: 0.000 0.500 0.500
As: 0.500 0.000 0.500
As: 0.500 0.500 0.000
Os: 0.500 0.500 0.500

=====

Record 15
Material: Mn2CrSi
Method: DFT, GGA-PBEsol
State: relaxed

Summary:
* E_form (uncorrected): -0.316 eV/atom
* symmetry: P4/mmm, No. 123

a = 3.886 Å, b = 3.886 Å, c = 2.808 Å
α = 90.00°, β = 90.00°, γ = 90.00°
Element x y z (fractional)
Mn: 0.000 0.500 0.000
Mn: 0.500 0.000 0.000
Cr: 0.000 0.000 0.500
Si: 0.500 0.500 0.500

=====

Record 16
Material: Li3VO4
Method: DFT, GGA-PBEsol
State: relaxed

Summary:
* E_form (uncorrected): -2.375 eV/atom
* symmetry: Pmn2_1, No. 31

a = 6.286 Å, b = 5.418 Å, c = 4.906 Å
α = 90.00°, β = 90.00°, γ = 90.00°
Element x y z (fractional)
Li: 0.000 0.167 0.000
Li: 0.247 0.332 0.500
Li: 0.253 0.668 0.000
Li: 0.500 0.833 0.500
Li: 0.747 0.668 0.000
Li: 0.753 0.332 0.500
V: 0.000 0.831 0.510
V: 0.500 0.169 0.010
O: 0.000 0.132 0.401
O: 0.000 0.828 0.859
O: 0.225 0.680 0.400
O: 0.275 0.320 0.900
O: 0.500 0.172 0.359
O: 0.500 0.868 0.901
O: 0.725 0.320 0.900
O: 0.775 0.680 0.400

=====

Record 17
Material: RbCr5S8
Method: DFT, GGA-PBEsol
State: relaxed

Summary:
* E_form (uncorrected): -0.791 eV/atom
* symmetry: Cm, No. 8

a = 9.027 Å, b = 9.027 Å, c = 8.562 Å
α = 104.64°, β = 104.64°, γ = 22.04°
Element x y z (fractional)
Rb: 0.000 0.000 0.000
Cr: 0.159 0.159 0.475
Cr: 0.204 0.204 0.835
Cr: 0.500 0.500 0.500
Cr: 0.796 0.796 0.165
Cr: 0.841 0.841 0.525
S: 0.076 0.076 0.650
S: 0.262 0.262 0.343
S: 0.329 0.329 0.011
S: 0.414 0.414 0.670
S: 0.587 0.587 0.329
S: 0.672 0.672 0.988
S: 0.738 0.738 0.657
S: 0.924 0.924 0.349

=====

Record 18
Material: LiSiN3
Method: DFT, GGA-PBEsol
State: relaxed

Summary:
* E_form (uncorrected): 0.356 eV/atom
* symmetry: Pm-3m, No. 221

a = 3.585 Å, b = 3.585 Å, c = 3.585 Å
α = 90.00°, β = 90.00°, γ = 90.00°
Element x y z (fractional)
Li: 0.000 0.000 0.000
Si: 0.500 0.500 0.500
N: 0.000 0.500 0.500
N: 0.500 0.000 0.500
N: 0.500 0.500 0.000

=====

Record 19
Material: MoSe3
Method: DFT, GGA-PBEsol
State: relaxed

Summary:
* E_form (uncorrected): 0.076 eV/atom
* symmetry: Pmmm, No. 47

a = 2.604 Å, b = 3.196 Å, c = 9.822 Å
α = 90.00°, β = 90.00°, γ = 90.00°
Element x y z (fractional)
Mo: 0.000 0.000 0.000
Se: 0.000 0.000 0.500
Se: 0.000 0.500 0.202
Se: 0.000 0.500 0.798

=====

Record 20
Material: CsAlTe3
Method: DFT, GGA-PBEsol
State: relaxed

Summary:
* offset from the most stable computed form: 1703 meV/atom
* E_form (uncorrected): 1.090 eV/atom
* symmetry: Pm-3m, No. 221

a = 6.143 Å, b = 6.143 Å, c = 6.143 Å
α = 90.00°, β = 90.00°, γ = 90.00°
Element x y z (fractional)
Cs: 0.000 0.000 0.000
Al: 0.500 0.500 0.500
Te: 0.000 0.000 0.500
Te: 0.000 0.500 0.000
Te: 0.500 0.000 0.000

=====

no.,V (A^3/atom),VASP energy (eV for the cell shown)
1,20.78,-108.22
2,15.99,-106.53
3,14.63,-65.79
4,20.27,-17.02
5,12.59,-29.62
6,19.74,-9.57
7,23.29,-22.77
8,20.42,-30.40
9,22.43,-13.20
10,19.64,-22.04
11,14.88,-89.18
12,16.86,-25.62
13,10.84,-21.40
14,23.31,-26.57
15,10.60,-36.78
16,10.44,-111.06
17,18.07,-98.38
18,9.22,-31.51
19,20.44,-23.01
20,46.37,-10.16